[1]
Here is a crystal of NaMoAsSe2 relaxed with PBEsol from Alexandria. Energies are from meta-GGA SCAN.

Cell and atoms, written as extended XYZ:
```
5
Lattice="4.837 0.000 0.000 0.000 4.971 0.000 0.000 0.000 4.971" Properties=species:S:1:pos:R:3 pbc="T T T"
Na 2.419 2.486 2.486
Mo 0.000 0.000 0.000
As 2.419 0.000 0.000
Se 0.000 0.000 2.486
Se 0.000 2.486 0.000
```

## Properties
The value obtained for the total magnetic moment is 0.00 μB/atom. The formation energy (no corrections) is -0.11 eV per atom.

***

[2]
Here is a crystal of LiMnSiP2 relaxed with PBEsol from Alexandria. Energies are from meta-GGA SCAN.

Cell and atoms, written as extended XYZ:
```
5
Lattice="4.322 0.000 0.000 0.000 4.531 0.000 0.000 0.000 4.531" Properties=species:S:1:pos:R:3 pbc="T T T"
P 0.000 0.000 2.265
P 0.000 2.265 0.000
Si 0.000 0.000 0.000
Mn 2.161 2.265 2.265
Li 2.161 0.000 0.000
```

## Properties
The value obtained for the total magnetic moment is 0.94 μB/atom. The formation energy (no corrections) is 0.55 eV per atom.

***

[3]
Here is a crystal of Li2TlP relaxed with PBEsol from Alexandria. Energies are from meta-GGA SCAN.

Cell and atoms, written as extended XYZ:
```
4
Lattice="-1.725 -1.032 2.425 1.676 -2.666 0.061 4.483 2.920 4.432" Properties=species:S:1:pos:R:3 pbc="T T T"
P 2.217 -0.389 3.459
Tl -0.025 -1.849 1.243
Li 1.381 0.900 1.366
Li 3.102 2.020 3.067
```

## Properties
The formation energy is -1.23 eV/f.u. The energy above the lowest structure with this stoichiometry comes out at 0.000 eV per atom. The value obtained for the total magnetic moment is 0.00 μB/atom.

***

[4]
Here is a crystal of YC3 relaxed with PBEsol from Alexandria. Energies are from meta-GGA SCAN.

Cell and atoms, written as extended XYZ:
```
4
Lattice="3.138 0.000 0.000 0.000 3.138 0.000 0.000 0.000 4.002" Properties=species:S:1:pos:R:3 pbc="T T T"
Y 1.569 0.000 2.679
C 0.000 0.000 0.624
C 0.000 1.569 1.410
C 1.569 1.569 0.624
```

## Properties
The formation energy is 5.29 eV/f.u. The value obtained for the total magnetic moment is 0.00 μB/atom.

***

[5]
Here is a crystal of NaBe3Ir relaxed with PBEsol from Alexandria. Energies are from meta-GGA SCAN.

Cell and atoms, written as extended XYZ:
```
5
Lattice="3.937 0.000 0.000 0.000 3.937 0.000 0.000 0.000 3.937" Properties=species:S:1:pos:R:3 pbc="T T T"
Na 0.000 0.000 0.000
Ir 1.969 1.969 1.969
Be 0.000 1.969 0.000
Be 0.000 0.000 1.969
Be 1.969 0.000 0.000
```

## Properties
The formation energy is 8.76 eV/f.u. The value obtained for the total magnetic moment is 0.00 μB/atom.

***

[6]
Here is a crystal of ZnW2I relaxed with PBEsol from Alexandria. Energies are from meta-GGA SCAN.

Cell and atoms, written as extended XYZ:
```
4
Lattice="-3.670 2.566 -0.581 -2.649 -0.630 -3.603 -4.113 -1.794 0.507" Properties=species:S:1:pos:R:3 pbc="T T T"
I -5.216 0.071 -1.838
Zn 0.000 0.000 0.000
W -2.608 0.035 -0.919
W -7.824 0.106 -2.757
```

## Properties
The value obtained for the total magnetic moment is 0.00 μB/atom. The formation energy (no corrections) is 1.36 eV per atom.

***

[7]
Here is a crystal of HfNbNi2Sb relaxed with PBEsol from Alexandria. Energies are from meta-GGA SCAN.

Cell and atoms, written as extended XYZ:
```
5
Lattice="-1.305 3.144 2.872 -4.139 -0.231 -1.628 -1.131 -3.558 3.380" Properties=species:S:1:pos:R:3 pbc="T T T"
Sb 0.000 0.000 0.000
Nb -0.566 -1.779 1.690
Hf -3.288 -0.322 2.312
Ni -2.070 -0.115 -0.814
Ni -0.653 1.572 1.436
```

## Properties
The value obtained for the total magnetic moment is 0.00 μB/atom. The formation energy (no corrections) is 0.80 eV per atom.

***

[8]
Here is a crystal of MoOsRh2 relaxed with PBEsol from Alexandria. Energies are from meta-GGA SCAN.

Cell and atoms, written as extended XYZ:
```
4
Lattice="-0.683 2.536 0.624 -2.395 0.240 -3.599 -3.773 -1.608 2.403" Properties=species:S:1:pos:R:3 pbc="T T T"
Rh -0.161 -0.069 0.103
Rh -3.891 -1.027 -0.084
Mo -2.363 0.406 1.600
Os -2.323 1.054 -0.988
```

## Properties
The formation energy is -0.64 eV/f.u. The energy above the lowest structure with this stoichiometry comes out at 0.000 eV per atom. The value obtained for the total magnetic moment is 0.00 μB/atom.

***

[9]
Here is a crystal of PuCo2Si2 relaxed with PBEsol from Alexandria. Energies are from meta-GGA SCAN.

Cell and atoms, written as extended XYZ:
```
5
Lattice="3.812 0.000 0.000 0.000 3.812 0.000 -1.906 -1.906 4.870" Properties=species:S:1:pos:R:3 pbc="T T T"
Si 0.000 0.000 3.631
Si 1.906 1.906 1.239
Co 0.000 1.906 2.435
Co 1.906 0.000 2.435
Pu 0.000 0.000 0.000
```

## Properties
The value obtained for the total magnetic moment is 1.06 μB/atom. The formation energy (no corrections) is -0.46 eV per atom.

***

[10]
Here is a crystal of Tl3Zn relaxed with PBEsol from Alexandria. Energies are from meta-GGA SCAN.

Cell and atoms, written as extended XYZ:
```
4
Lattice="-1.398 -0.974 -2.910 -1.436 -2.579 1.631 -6.980 4.957 1.693" Properties=species:S:1:pos:R:3 pbc="T T T"
Tl -2.005 1.423 0.486
Tl -1.417 -1.776 -0.640
Tl -4.975 3.533 1.207
Zn -4.907 0.702 0.207
```

## Properties
The formation energy is 0.54 eV/f.u. The value obtained for the total magnetic moment is 0.00 μB/atom.

***

[11]
Here is a crystal of BeCuOs2 relaxed with PBEsol from Alexandria. Energies are from meta-GGA SCAN.

Cell and atoms, written as extended XYZ:
```
4
Lattice="-1.396 -1.386 2.064 2.000 -3.420 -0.943 2.600 3.379 2.058" Properties=species:S:1:pos:R:3 pbc="T T T"
Be 0.355 -2.385 0.608
Cu 2.299 -1.274 0.700
Os 3.192 -1.432 3.168
Os 0.865 -0.168 2.442
```

## Properties
The formation energy is 0.23 eV/f.u. The value obtained for the total magnetic moment is 0.00 μB/atom.

***

[12]
Here is a crystal of YZr2Os relaxed with PBEsol from Alexandria. Energies are from meta-GGA SCAN.

Cell and atoms, written as extended XYZ:
```
4
Lattice="-0.751 -3.193 0.321 0.369 -2.045 -2.559 8.715 -3.552 1.974" Properties=species:S:1:pos:R:3 pbc="T T T"
Os 4.166 -4.395 -0.132
Y 0.000 0.000 0.000
Zr 2.510 -2.285 0.065
Zr 5.822 -6.506 -0.329
```

## Properties
The formation energy is 0.28 eV/f.u. The energy above the lowest structure with this stoichiometry comes out at 0.398 eV per atom. The value obtained for the total magnetic moment is 0.00 μB/atom.

***

[13]
Here is a crystal of Li3Ti2Ni2O8 relaxed with PBEsol from Alexandria. Energies are from meta-GGA SCAN.

Cell and atoms, written as extended XYZ:
```
15
Lattice="-2.482 -5.012 -1.538 2.361 0.429 -5.252 3.384 0.190 4.718" Properties=species:S:1:pos:R:3 pbc="T T T"
Li 2.873 0.310 -0.267
Li -0.060 -2.291 -3.395
Li 1.692 0.095 2.359
Ti 0.000 0.000 0.000
Ti -1.241 -2.506 -0.769
Ni 1.632 -2.196 -1.036
Ni 0.451 -2.411 1.590
O 1.712 -3.333 -2.695
O 1.552 -1.059 0.623
O 0.390 -3.362 -0.097
O 2.874 -1.031 -1.975
O 3.285 -0.972 3.127
O -0.021 -3.421 -5.199
O 4.556 -0.734 0.264
O -1.292 -3.659 -2.336
```

## Properties
The value obtained for the total magnetic moment is 0.20 μB/atom. The formation energy (no corrections) is -2.37 eV per atom.

***

[14]
Here is a crystal of ReAg2W relaxed with PBEsol from Alexandria. Energies are from meta-GGA SCAN.

Cell and atoms, written as extended XYZ:
```
4
Lattice="-0.404 -2.003 -1.816 0.996 -2.500 0.478 -7.994 -3.908 4.031" Properties=species:S:1:pos:R:3 pbc="T T T"
Ag -1.836 -2.098 0.665
Ag -5.566 -6.312 2.028
Re 0.000 0.000 0.000
W -3.701 -4.205 1.347
```

## Properties
The formation energy is 2.57 eV/f.u. The energy above the lowest structure with this stoichiometry comes out at 0.147 eV per atom. The value obtained for the total magnetic moment is 0.00 μB/atom.

***

[15]
Here is a crystal of KRuIO2 relaxed with PBEsol from Alexandria. Energies are from meta-GGA SCAN.

Cell and atoms, written as extended XYZ:
```
5
Lattice="-0.909 -1.826 -3.871 -0.146 -3.942 1.893 -6.105 0.745 1.082" Properties=species:S:1:pos:R:3 pbc="T T T"
I -3.053 0.373 0.541
Ru -3.580 -2.511 -0.448
K 0.000 0.000 0.000
O -0.073 -1.971 0.947
O -0.454 -0.913 -1.935
```

## Properties
The value obtained for the total magnetic moment is 1.20 μB/atom. The formation energy (no corrections) is 1.05 eV per atom.

***

[16]
Here is a crystal of CrFeSb2Te relaxed with PBEsol from Alexandria. Energies are from meta-GGA SCAN.

Cell and atoms, written as extended XYZ:
```
5
Lattice="4.919 0.000 0.000 0.000 4.919 0.000 0.000 0.000 5.135" Properties=species:S:1:pos:R:3 pbc="T T T"
Sb 0.000 2.459 0.000
Sb 2.459 0.000 0.000
Te 0.000 0.000 2.567
Fe 2.459 2.459 2.567
Cr 0.000 0.000 0.000
```

## Properties
The value obtained for the total magnetic moment is 1.13 μB/atom. The formation energy (no corrections) is 0.81 eV per atom.

***

[17]
Here is a crystal of BaInBr2 relaxed with PBEsol from Alexandria. Energies are from meta-GGA SCAN.

Cell and atoms, written as extended XYZ:
```
4
Lattice="3.846 0.000 0.084 0.000 3.943 0.000 -0.206 0.000 9.227" Properties=species:S:1:pos:R:3 pbc="T T T"
Ba -0.103 1.971 4.613
Br 1.781 0.000 6.454
Br 1.860 0.000 2.857
In 1.923 1.971 0.042
```

## Properties
The value obtained for the total magnetic moment is 0.00 μB/atom. The formation energy (no corrections) is -1.39 eV per atom.

***

[18]
Here is a crystal of BeO relaxed with PBEsol from Alexandria. Energies are from meta-GGA SCAN.

Cell and atoms, written as extended XYZ:
```
4
Lattice="-2.342 -0.066 1.332 0.834 -2.168 -1.368 2.071 -1.456 3.569" Properties=species:S:1:pos:R:3 pbc="T T T"
Be 1.830 -2.912 3.073
Be -0.265 -1.483 2.189
O 1.047 -2.362 1.725
O -1.047 -0.933 0.840
```

## Properties
The energy above the lowest structure with this stoichiometry comes out at 0.000 eV per atom. The value obtained for the total magnetic moment is 0.00 μB/atom. The formation energy (no corrections) is -3.03 eV per atom.

***

[19]
Here is a crystal of ZnRh2Au relaxed with PBEsol from Alexandria. Energies are from meta-GGA SCAN.

Cell and atoms, written as extended XYZ:
```
4
Lattice="-0.613 0.873 -2.554 1.965 -3.719 -1.743 -3.985 -2.201 0.204" Properties=species:S:1:pos:R:3 pbc="T T T"
Au -1.010 -2.960 -0.769
Rh 0.000 0.000 0.000
Rh -2.299 -0.664 -1.175
Zn 0.676 -1.423 -2.148
```

## Properties
The formation energy is -0.12 eV/f.u. The value obtained for the total magnetic moment is 0.00 μB/atom.

***

[20]
Here is a crystal of LaYNi relaxed with PBEsol from Alexandria. Energies are from meta-GGA SCAN.

Cell and atoms, written as extended XYZ:
```
3
Lattice="-4.444 -1.130 -0.636 -2.225 -2.522 3.181 -3.282 1.950 2.620" Properties=species:S:1:pos:R:3 pbc="T T T"
La -2.488 -0.426 1.291
Ni 0.000 0.000 0.000
Y -4.975 -0.851 2.583
```

## Properties
The formation energy is 1.68 eV/f.u. The value obtained for the total magnetic moment is 0.00 μB/atom.